Record 1
The following is a DFT calculation (PBE) of crystalline CeScP2O8 at its relaxed geometry.

Unit cell a=5.208 b=5.208 c=6.900 alpha=90.00 beta=90.00 gamma=120.00
Sites, in units of the cell vectors:
Ce  0.000  0.000  0.000
Sc  0.000  0.000  0.500
P  0.333  0.667  0.778
P  0.667  0.333  0.222
O  0.168  0.343  0.703
O  0.175  0.832  0.703
O  0.333  0.667  0.000
O  0.343  0.175  0.297
O  0.657  0.825  0.703
O  0.667  0.333  0.000
O  0.825  0.168  0.297
O  0.832  0.657  0.297

Computed properties:
Crystal system: trigonal
Space-group type: P-3 (147)
Formation energy from raw total energies, kJ per mole of atoms: -276

Record 2
The following is a DFT calculation (PBE) of crystalline CeSmP2O8 at its relaxed geometry.

Unit cell a=5.318 b=5.318 c=7.304 alpha=90.00 beta=90.00 gamma=120.00
Sites, in units of the cell vectors:
Ce  0.000  0.000  0.000
Sm  0.000  0.000  0.500
P  0.333  0.667  0.800
P  0.667  0.333  0.200
O  0.174  0.350  0.726
O  0.176  0.826  0.726
O  0.333  0.667  0.009
O  0.350  0.176  0.274
O  0.650  0.824  0.726
O  0.667  0.333  0.991
O  0.824  0.174  0.274
O  0.826  0.650  0.274

Computed properties:
Crystal system: trigonal
Space-group type: P-3 (147)
Formation energy from raw total energies, kJ per mole of atoms: -275

Record 3
The following is a DFT calculation (PBE) of crystalline CeSnP2O8 at its relaxed geometry.

Unit cell a=8.058 b=8.058 c=8.058 alpha=36.21 beta=36.21 gamma=36.21
Sites, in units of the cell vectors:
Ce  0.000  0.000  0.000
Sn  0.500  0.500  0.500
P  0.247  0.247  0.247
P  0.753  0.753  0.753
O  0.024  0.439  0.723
O  0.179  0.179  0.179
O  0.277  0.976  0.561
O  0.439  0.723  0.024
O  0.561  0.277  0.976
O  0.723  0.024  0.439
O  0.821  0.821  0.821
O  0.976  0.561  0.277

Computed properties:
Crystal system: trigonal
Space-group type: R-3 (148)
Formation energy from raw total energies, kJ per mole of atoms: -226

Record 4
The following is a DFT calculation (PBE) of crystalline Sr2Ce4P3O2 at its relaxed geometry.

Unit cell a=12.414 b=12.414 c=12.414 alpha=158.38 beta=158.38 gamma=30.77
Sites, in units of the cell vectors:
Sr  0.201  0.201  0.000
Sr  0.799  0.799  0.000
Ce  0.077  0.577  0.500
Ce  0.423  0.923  0.500
Ce  0.577  0.077  0.500
Ce  0.923  0.423  0.500
P  0.332  0.332  0.000
P  0.500  0.500  0.000
P  0.668  0.668  0.000
O  0.097  0.097  0.000
O  0.903  0.903  0.000

Computed properties:
Crystal system: tetragonal
Space-group type: I4/mmm (139)
Formation energy from raw total energies, kJ per mole of atoms: -166

Record 5
The following is a DFT calculation (PBE) of crystalline CeTcPO at its relaxed geometry.

Unit cell a=4.012 b=4.012 c=8.171 alpha=90.00 beta=90.00 gamma=90.00
Sites, in units of the cell vectors:
Ce  0.250  0.250  0.149
Ce  0.750  0.750  0.851
Tc  0.250  0.750  0.500
Tc  0.750  0.250  0.500
P  0.250  0.250  0.655
P  0.750  0.750  0.345
O  0.250  0.750  0.000
O  0.750  0.250  0.000

Computed properties:
Crystal system: tetragonal
Space-group type: P4/nmm (129)
Formation energy from raw total energies, kJ per mole of atoms: -187

Record 6
The following is a DFT calculation (PBE) of crystalline Ce8Te4P3O at its relaxed geometry.

Unit cell a=8.643 b=8.643 c=8.643 alpha=57.24 beta=57.24 gamma=57.24
Sites, in units of the cell vectors:
Ce  0.238  0.238  0.238
Ce  0.251  0.726  0.726
Ce  0.274  0.274  0.749
Ce  0.274  0.749  0.274
Ce  0.726  0.251  0.726
Ce  0.726  0.726  0.251
Ce  0.749  0.274  0.274
Ce  0.762  0.762  0.762
Te  0.000  0.000  0.000
Te  0.000  0.500  0.500
Te  0.500  0.000  0.500
Te  0.500  0.500  0.000
P  0.000  0.000  0.500
P  0.000  0.500  0.000
P  0.500  0.000  0.000
O  0.500  0.500  0.500

Computed properties:
Crystal system: trigonal
Space-group type: R-3m (166)
Formation energy from raw total energies, kJ per mole of atoms: -150

Record 7
The following is a DFT calculation (PBE) of crystalline CeThPO2 at its relaxed geometry.

Unit cell a=3.864 b=3.864 c=12.378 alpha=90.00 beta=90.00 gamma=90.00
Sites, in units of the cell vectors:
Ce  0.000  0.000  0.000
Ce  0.500  0.500  0.500
Th  0.000  0.000  0.283
Th  0.500  0.500  0.783
P  0.000  0.000  0.646
P  0.500  0.500  0.146
O  0.000  0.500  0.389
O  0.000  0.500  0.889
O  0.500  0.000  0.389
O  0.500  0.000  0.889

Computed properties:
Crystal system: tetragonal
Space-group type: I4mm (107)
Formation energy from raw total energies, kJ per mole of atoms: -265

Record 8
The following is a DFT calculation (PBE) of crystalline CeTlP2O6 at its relaxed geometry.

Unit cell a=6.963 b=6.963 c=8.693 alpha=93.54 beta=93.54 gamma=110.98
Sites, in units of the cell vectors:
Ce  0.156  0.844  0.750
Ce  0.844  0.156  0.250
Tl  0.431  0.569  0.250
Tl  0.569  0.431  0.750
P  0.022  0.744  0.312
P  0.256  0.978  0.188
P  0.744  0.022  0.812
P  0.978  0.256  0.688
O  0.025  0.478  0.760
O  0.104  0.774  0.483
O  0.166  0.188  0.717
O  0.188  0.166  0.217
O  0.226  0.896  0.017
O  0.478  0.025  0.260
O  0.522  0.975  0.740
O  0.774  0.104  0.983
O  0.812  0.834  0.783
O  0.834  0.812  0.283
O  0.896  0.226  0.517
O  0.975  0.522  0.240

Computed properties:
Crystal system: monoclinic
Space-group type: C2/c (15)
Formation energy from raw total energies, kJ per mole of atoms: -222

Record 9
The following is a DFT calculation (PBE) of crystalline CeTlP2O8 at its relaxed geometry.

Unit cell a=8.729 b=8.729 c=8.729 alpha=34.87 beta=34.87 gamma=34.87
Sites, in units of the cell vectors:
Ce  0.000  0.000  0.000
Tl  0.500  0.500  0.500
P  0.256  0.256  0.256
P  0.744  0.744  0.744
O  0.013  0.571  0.250
O  0.194  0.194  0.194
O  0.250  0.013  0.571
O  0.429  0.750  0.987
O  0.571  0.250  0.013
O  0.750  0.987  0.429
O  0.806  0.806  0.806
O  0.987  0.429  0.750

Computed properties:
Crystal system: trigonal
Space-group type: R-3 (148)
Formation energy from raw total energies, kJ per mole of atoms: -216

Record 10
The following is a DFT calculation (PBE) of crystalline CeTl2P5O15 at its relaxed geometry.

Unit cell a=7.386 b=7.386 c=13.522 alpha=90.53 beta=90.53 gamma=108.32
Sites, in units of the cell vectors:
Ce  0.092  0.908  0.500
Ce  0.908  0.092  0.000
Tl  0.222  0.443  0.689
Tl  0.295  0.691  0.992
Tl  0.443  0.222  0.189
Tl  0.691  0.295  0.492
P  0.001  0.401  0.233
P  0.026  0.815  0.221
P  0.219  0.442  0.421
P  0.401  0.001  0.733
P  0.442  0.219  0.921
P  0.548  0.798  0.409
P  0.616  0.771  0.192
P  0.771  0.616  0.692
P  0.798  0.548  0.909
P  0.815  0.026  0.721
O  0.022  0.297  0.140
O  0.074  0.923  0.126
O  0.085  0.626  0.208
O  0.105  0.564  0.458
O  0.109  0.915  0.317
O  0.171  0.382  0.306
O  0.214  0.263  0.474
O  0.263  0.214  0.974
O  0.297  0.022  0.640
O  0.349  0.815  0.786
O  0.382  0.171  0.806
O  0.432  0.905  0.459
O  0.444  0.568  0.415
O  0.477  0.590  0.153
O  0.538  0.840  0.292
O  0.564  0.105  0.958
O  0.568  0.444  0.915
O  0.590  0.477  0.653
O  0.626  0.085  0.708
O  0.672  0.941  0.125
O  0.723  0.800  0.733
O  0.751  0.831  0.443
O  0.800  0.723  0.233
O  0.815  0.349  0.286
O  0.831  0.751  0.943
O  0.840  0.538  0.792
O  0.905  0.432  0.959
O  0.915  0.109  0.817
O  0.923  0.074  0.626
O  0.941  0.672  0.625

Computed properties:
Crystal system: monoclinic
Space-group type: Cc (9)
Formation energy from raw total energies, kJ per mole of atoms: -213

Record 11
The following is a DFT calculation (PBE) of crystalline CeTlP4O12 at its relaxed geometry.

Unit cell a=10.713 b=9.246 c=13.109 alpha=90.00 beta=125.21 gamma=90.00
Sites, in units of the cell vectors:
Ce  0.186  0.225  0.186
Ce  0.186  0.275  0.686
Ce  0.814  0.725  0.314
Ce  0.814  0.775  0.814
Tl  0.246  0.565  0.963
Tl  0.246  0.935  0.463
Tl  0.754  0.065  0.537
Tl  0.754  0.435  0.037
P  0.115  0.596  0.260
P  0.115  0.904  0.760
P  0.182  0.674  0.643
P  0.182  0.826  0.143
P  0.300  0.100  0.979
P  0.300  0.400  0.479
P  0.473  0.528  0.726
P  0.473  0.972  0.226
P  0.527  0.028  0.774
P  0.527  0.472  0.274
P  0.700  0.600  0.521
P  0.700  0.900  0.021
P  0.818  0.174  0.857
P  0.818  0.326  0.357
P  0.885  0.096  0.240
P  0.885  0.404  0.740
O  0.015  0.179  0.255
O  0.015  0.321  0.755
O  0.076  0.033  0.676
O  0.076  0.467  0.176
O  0.080  0.742  0.516
O  0.080  0.758  0.016
O  0.137  0.537  0.676
O  0.137  0.963  0.176
O  0.199  0.154  0.016
O  0.199  0.346  0.516
O  0.225  0.706  0.250
O  0.225  0.794  0.750
O  0.232  0.552  0.404
O  0.232  0.948  0.904
O  0.337  0.199  0.910
O  0.337  0.301  0.410
O  0.349  0.658  0.669
O  0.349  0.842  0.169
O  0.370  0.093  0.695
O  0.370  0.407  0.195
O  0.433  0.084  0.285
O  0.433  0.416  0.785
O  0.455  0.037  0.102
O  0.455  0.463  0.602
O  0.545  0.537  0.398
O  0.545  0.963  0.898
O  0.567  0.584  0.215
O  0.567  0.916  0.715
O  0.630  0.593  0.805
O  0.630  0.907  0.305
O  0.651  0.158  0.831
O  0.651  0.342  0.331
O  0.663  0.699  0.590
O  0.663  0.801  0.090
O  0.768  0.052  0.096
O  0.768  0.448  0.596
O  0.775  0.206  0.250
O  0.775  0.294  0.750
O  0.801  0.654  0.484
O  0.801  0.846  0.984
O  0.863  0.037  0.824
O  0.863  0.463  0.324
O  0.920  0.242  0.984
O  0.920  0.258  0.484
O  0.924  0.533  0.824
O  0.924  0.967  0.324
O  0.985  0.679  0.245
O  0.985  0.821  0.745

Computed properties:
Crystal system: monoclinic
Space-group type: P2_1/c (14)
Formation energy from raw total energies, kJ per mole of atoms: -223